[1]
Computed, not measured: a geometry-optimized Ba2AuS structure at the PBE level of DFT.

```
data_Ba2AuS
_chemical_formula_sum 'Ba6 Au3 S3'
_symmetry_space_group_name_H-M 'R -3 m'
_symmetry_Int_Tables_number 166
_symmetry_space_group_name_Hall '-R 3 2"'
_cell_length_a 4.5811
_cell_length_b 4.5811
_cell_length_c 23.7656
_cell_angle_alpha 90.00
_cell_angle_beta 90.00
_cell_angle_gamma 120.00
loop_
_atom_site_label
_atom_site_type_symbol
_atom_site_fract_x
_atom_site_fract_y
_atom_site_fract_z
_atom_site_occupancy
Ba1 Ba 0.0000 0.0000 0.2448 1
Au1 Au 0.0000 0.0000 0.0000 1
S1 S 0.0000 0.0000 0.5000 1
```

- crystal system = trigonal
- E_form (uncorrected) (eV/atom) = -1.29
- calculated total energy (eV/atom) = -4.10
- total moment (μB/cell) = 0.50


[2]
Computed, not measured: a geometry-optimized BaLi4Au4 structure at the PBE level of DFT.

```
data_BaLi4Au4
_chemical_formula_sum 'Ba2 Li8 Au8'
_symmetry_space_group_name_H-M 'I 4/m'
_symmetry_Int_Tables_number 87
_symmetry_space_group_name_Hall '-I 4'
_cell_length_a 8.851
_cell_length_b 8.851
_cell_length_c 4.779
_cell_angle_alpha 90.00
_cell_angle_beta 90.00
_cell_angle_gamma 90.00
loop_
_atom_site_label
_atom_site_type_symbol
_atom_site_fract_x
_atom_site_fract_y
_atom_site_fract_z
_atom_site_occupancy
Ba1 Ba 0.000 0.000 0.000 1
Li1 Li 0.095 0.386 0.000 1
Au1 Au 0.160 0.282 0.500 1
```

- crystal system = tetragonal
- energy of formation from the pure elements (eV/atom) = -0.52
- calculated total energy (eV/atom) = -3.04
- total moment (μB/cell) = 0.00


[3]
Computed, not measured: a geometry-optimized Ga2BiMoI structure at the PBE level of DFT.

```
data_Ga2BiMoI
_chemical_formula_sum 'Ga2 Bi1 Mo1 I1'
_symmetry_space_group_name_H-M 'P 4/m m m'
_symmetry_Int_Tables_number 123
_symmetry_space_group_name_Hall '-P 4 2'
_cell_length_a 5.688
_cell_length_b 5.688
_cell_length_c 5.346
_cell_angle_alpha 90.00
_cell_angle_beta 90.00
_cell_angle_gamma 90.00
loop_
_atom_site_label
_atom_site_type_symbol
_atom_site_fract_x
_atom_site_fract_y
_atom_site_fract_z
_atom_site_occupancy
Ga1 Ga 0.000 0.500 0.000 1
Bi1 Bi 0.000 0.000 0.500 1
Mo1 Mo 0.500 0.500 0.500 1
I1 I 0.500 0.500 0.000 1
```

- crystal system = tetragonal
- E_form (uncorrected) (eV/atom) = 1.23
- polymorph energy (0 for the lowest one) (meV/atom) = 264
- calculated total energy (eV/atom) = -3.24
- total moment (μB/cell) = 3.95


[4]
Computed, not measured: a geometry-optimized Tb2CeHo4 structure at the PBE level of DFT.

```
data_Tb2CeHo4
_chemical_formula_sum 'Tb4 Ce2 Ho8'
_symmetry_space_group_name_H-M 'C 1 m 1'
_symmetry_Int_Tables_number 8
_symmetry_space_group_name_Hall 'C -2y'
_cell_length_a 6.176
_cell_length_b 3.562
_cell_length_c 20.061
_cell_angle_alpha 90.00
_cell_angle_beta 96.00
_cell_angle_gamma 90.00
loop_
_atom_site_label
_atom_site_type_symbol
_atom_site_fract_x
_atom_site_fract_y
_atom_site_fract_z
_atom_site_occupancy
Tb1 Tb 0.000 0.000 0.000 1
Tb2 Tb 0.088 0.000 0.286 1
Ce1 Ce 0.182 0.000 0.572 1
Ho1 Ho 0.281 0.000 0.857 1
Ho2 Ho 0.305 0.500 0.428 1
Ho3 Ho 0.376 0.000 0.143 1
Ho4 Ho 0.402 0.500 0.716 1
```

- crystal system = monoclinic
- energy of formation from the pure elements (eV/atom) = 0.03
- polymorph energy (0 for the lowest one) (meV/atom) = 0
- calculated total energy (eV/atom) = -4.75
- total moment (μB/cell) = 1.78